Below is a geometry-optimized GdHoSnPb structure, with properties calculated at the GGA-PBE level.

Calculated values
Formation energy   -0.479 eV/atom
Crystal system   cubic
Spin magnetization   7.363 μB/cell
Calculated density   9.59 g/cm3

Unit cell a=5.415 b=5.415 c=5.415 alpha=60.00 beta=60.00 gamma=60.00
Positions (direct):
Gd1 0.000 0.000 0.000
Ho1 0.500 0.500 0.500
Sn1 0.250 0.250 0.250
Pb1 0.750 0.750 0.750